VASP calculation (GGA-PBE) on CePr2HoS4 after structural relaxation.

The structure in POSCAR format:
```
CePr2HoS4
1.0
4.008 0.000 0.000
0.000 6.992 0.137
0.000 -2.427 6.562
Ce S Pr Ho
1 4 2 1
Direct
0.500 0.500 0.000
0.000 0.248 0.762
0.500 0.239 0.234
0.000 0.752 0.238
0.500 0.761 0.766
0.000 0.500 0.500
0.500 0.000 0.500
0.000 0.000 0.000
```

## Properties
energy relative to the elements, uncorrected: -2.0189 eV/atom
calculated density: 6.41 g cm⁻³
DOS(E_F): 0.920 states/eV per atom
M_tot: 0.69 μB/f.u.